Entry 1:
# PBE-GGA Dy3Ho5Sc2, optimized geometry
data_Dy3Ho5Sc2
_chemical_formula_sum 'Dy6 Ho10 Sc4'
_cell_length_a 12.078
_cell_length_b 12.078
_cell_length_c 12.078
_cell_angle_alpha 135.92
_cell_angle_beta 55.46
_cell_angle_gamma 148.06
_space_group_name_H-M_alt 'P 1'
_space_group_IT_number 1
loop_
_space_group_symop_operation_xyz
'x,y,z'
loop_
_atom_site_label
_atom_site_type_symbol
_atom_site_fract_x
_atom_site_fract_y
_atom_site_fract_z
_atom_site_occupancy
Dy1 Dy 0.125 0.248 0.373 1
Dy2 Dy 0.250 0.250 0.000 1
Dy3 Dy 0.375 0.748 0.123 1
Dy4 Dy 0.625 0.252 0.877 1
Dy5 Dy 0.750 0.750 0.000 1
Dy6 Dy 0.875 0.752 0.627 1
Ho1 Ho 0.007 0.250 0.757 1
Ho2 Ho 0.130 0.603 0.732 1
Ho3 Ho 0.250 0.750 0.500 1
Ho4 Ho 0.370 0.103 0.473 1
Ho5 Ho 0.493 0.250 0.243 1
Ho6 Ho 0.507 0.750 0.757 1
Ho7 Ho 0.630 0.897 0.527 1
Ho8 Ho 0.750 0.250 0.500 1
Ho9 Ho 0.870 0.397 0.268 1
Ho10 Ho 0.993 0.750 0.243 1
Sc1 Sc 0.121 0.916 0.037 1
Sc2 Sc 0.379 0.416 0.796 1
Sc3 Sc 0.621 0.584 0.204 1
Sc4 Sc 0.879 0.084 0.963 1
# Theoretical density: 7.23 Mg/m³
# SG: Ibam, No. 72
# Relative energy among the computed polymorphs: 351 meV per atom
# ΔH_f (0 K): 388 meV/atom

Entry 2:
# PBE-GGA Dy3Ho7Sc, optimized geometry
data_Dy3Ho7Sc
_chemical_formula_sum 'Dy3 Ho7 Sc1'
_cell_length_a 6.732
_cell_length_b 5.408
_cell_length_c 9.785
_cell_angle_alpha 90.00
_cell_angle_beta 104.36
_cell_angle_gamma 90.00
_space_group_name_H-M_alt 'P 1'
_space_group_IT_number 1
loop_
_space_group_symop_operation_xyz
'x,y,z'
loop_
_atom_site_label
_atom_site_type_symbol
_atom_site_fract_x
_atom_site_fract_y
_atom_site_fract_z
_atom_site_occupancy
Dy1 Dy 0.000 0.000 0.000 1
Dy2 Dy 0.269 0.500 0.479 1
Dy3 Dy 0.731 0.500 0.521 1
Ho1 Ho 0.000 0.000 0.500 1
Ho2 Ho 0.164 0.500 0.785 1
Ho3 Ho 0.315 0.500 0.124 1
Ho4 Ho 0.461 0.000 0.327 1
Ho5 Ho 0.539 0.000 0.673 1
Ho6 Ho 0.685 0.500 0.876 1
Ho7 Ho 0.836 0.500 0.215 1
Sc1 Sc 0.500 0.000 0.000 1
# Theoretical density: 8.12 Mg/m³
# SG: P2/m, No. 10
# Relative energy among the computed polymorphs: 0 meV per atom
# ΔH_f (0 K): 156 meV/atom

Entry 3:
# PBE-GGA Dy16Ho7Sc6, optimized geometry
data_Dy16Ho7Sc6
_chemical_formula_sum 'Dy16 Ho7 Sc6'
_cell_length_a 10.926
_cell_length_b 10.926
_cell_length_c 10.926
_cell_angle_alpha 60.00
_cell_angle_beta 60.00
_cell_angle_gamma 60.00
_space_group_name_H-M_alt 'P 1'
_space_group_IT_number 1
loop_
_space_group_symop_operation_xyz
'x,y,z'
loop_
_atom_site_label
_atom_site_type_symbol
_atom_site_fract_x
_atom_site_fract_y
_atom_site_fract_z
_atom_site_occupancy
Dy1 Dy 0.069 0.644 0.644 1
Dy2 Dy 0.125 0.125 0.125 1
Dy3 Dy 0.125 0.125 0.626 1
Dy4 Dy 0.125 0.626 0.125 1
Dy5 Dy 0.356 0.356 0.356 1
Dy6 Dy 0.356 0.356 0.931 1
Dy7 Dy 0.356 0.931 0.356 1
Dy8 Dy 0.374 0.875 0.875 1
Dy9 Dy 0.626 0.125 0.125 1
Dy10 Dy 0.644 0.069 0.644 1
Dy11 Dy 0.644 0.644 0.069 1
Dy12 Dy 0.644 0.644 0.644 1
Dy13 Dy 0.875 0.374 0.875 1
Dy14 Dy 0.875 0.875 0.374 1
Dy15 Dy 0.875 0.875 0.875 1
Dy16 Dy 0.931 0.356 0.356 1
Ho1 Ho 0.000 0.000 0.000 1
Ho2 Ho 0.000 0.000 0.500 1
Ho3 Ho 0.000 0.500 0.000 1
Ho4 Ho 0.000 0.500 0.500 1
Ho5 Ho 0.500 0.000 0.000 1
Ho6 Ho 0.500 0.000 0.500 1
Ho7 Ho 0.500 0.500 0.000 1
Sc1 Sc 0.257 0.257 0.743 1
Sc2 Sc 0.257 0.743 0.257 1
Sc3 Sc 0.257 0.743 0.743 1
Sc4 Sc 0.743 0.257 0.257 1
Sc5 Sc 0.743 0.257 0.743 1
Sc6 Sc 0.743 0.743 0.257 1
# Theoretical density: 7.24 Mg/m³
# SG: Fm-3m, No. 225
# ΔH_f (0 K): 270 meV/atom

Entry 4:
# PBE-GGA Dy2Ho4Sc, optimized geometry
data_Dy2Ho4Sc
_chemical_formula_sum 'Dy8 Ho16 Sc4'
_cell_length_a 5.470
_cell_length_b 12.078
_cell_length_c 13.111
_cell_angle_alpha 90.00
_cell_angle_beta 90.00
_cell_angle_gamma 90.00
_space_group_name_H-M_alt 'P 1'
_space_group_IT_number 1
loop_
_space_group_symop_operation_xyz
'x,y,z'
loop_
_atom_site_label
_atom_site_type_symbol
_atom_site_fract_x
_atom_site_fract_y
_atom_site_fract_z
_atom_site_occupancy
Dy1 Dy 0.001 0.069 0.155 1
Dy2 Dy 0.001 0.431 0.655 1
Dy3 Dy 0.499 0.569 0.155 1
Dy4 Dy 0.499 0.931 0.655 1
Dy5 Dy 0.501 0.069 0.345 1
Dy6 Dy 0.501 0.431 0.845 1
Dy7 Dy 0.999 0.569 0.345 1
Dy8 Dy 0.999 0.931 0.845 1
Ho1 Ho 0.003 0.145 0.680 1
Ho2 Ho 0.003 0.245 0.925 1
Ho3 Ho 0.003 0.255 0.425 1
Ho4 Ho 0.003 0.355 0.180 1
Ho5 Ho 0.497 0.645 0.680 1
Ho6 Ho 0.497 0.745 0.925 1
Ho7 Ho 0.497 0.755 0.425 1
Ho8 Ho 0.497 0.855 0.180 1
Ho9 Ho 0.503 0.145 0.820 1
Ho10 Ho 0.503 0.245 0.575 1
Ho11 Ho 0.503 0.255 0.075 1
Ho12 Ho 0.503 0.355 0.320 1
Ho13 Ho 0.997 0.645 0.820 1
Ho14 Ho 0.997 0.745 0.575 1
Ho15 Ho 0.997 0.755 0.075 1
Ho16 Ho 0.997 0.855 0.320 1
Sc1 Sc 0.000 0.000 0.500 1
Sc2 Sc 0.000 0.500 0.000 1
Sc3 Sc 0.500 0.000 0.000 1
Sc4 Sc 0.500 0.500 0.500 1
# Theoretical density: 7.90 Mg/m³
# SG: Pbca, No. 61
# Relative energy among the computed polymorphs: 40 meV per atom
# ΔH_f (0 K): 184 meV/atom

Entry 5:
# PBE-GGA DyHo4Sc, optimized geometry
data_DyHo4Sc
_chemical_formula_sum 'Dy1 Ho4 Sc1'
_cell_length_a 5.360
_cell_length_b 5.360
_cell_length_c 9.139
_cell_angle_alpha 106.98
_cell_angle_beta 106.98
_cell_angle_gamma 59.88
_space_group_name_H-M_alt 'P 1'
_space_group_IT_number 1
loop_
_space_group_symop_operation_xyz
'x,y,z'
loop_
_atom_site_label
_atom_site_type_symbol
_atom_site_fract_x
_atom_site_fract_y
_atom_site_fract_z
_atom_site_occupancy
Dy1 Dy 0.000 0.000 0.000 1
Ho1 Ho 0.130 0.130 0.389 1
Ho2 Ho 0.378 0.378 0.135 1
Ho3 Ho 0.622 0.622 0.865 1
Ho4 Ho 0.870 0.870 0.611 1
Sc1 Sc 0.500 0.500 0.500 1
# Theoretical density: 6.73 Mg/m³
# SG: C2/m, No. 12
# Relative energy among the computed polymorphs: 675 meV per atom
# ΔH_f (0 K): 711 meV/atom

Entry 6:
# PBE-GGA Dy9HoSc2, optimized geometry
data_Dy9HoSc2
_chemical_formula_sum 'Dy9 Ho1 Sc2'
_cell_length_a 11.022
_cell_length_b 11.022
_cell_length_c 3.452
_cell_angle_alpha 90.00
_cell_angle_beta 90.00
_cell_angle_gamma 120.00
_space_group_name_H-M_alt 'P 1'
_space_group_IT_number 1
loop_
_space_group_symop_operation_xyz
'x,y,z'
loop_
_atom_site_label
_atom_site_type_symbol
_atom_site_fract_x
_atom_site_fract_y
_atom_site_fract_z
_atom_site_occupancy
Dy1 Dy 0.000 0.500 0.000 1
Dy2 Dy 0.179 0.357 0.500 1
Dy3 Dy 0.179 0.821 0.500 1
Dy4 Dy 0.357 0.179 0.500 1
Dy5 Dy 0.500 0.000 0.000 1
Dy6 Dy 0.500 0.500 0.000 1
Dy7 Dy 0.643 0.821 0.500 1
Dy8 Dy 0.821 0.179 0.500 1
Dy9 Dy 0.821 0.643 0.500 1
Ho1 Ho 0.000 0.000 0.000 1
Sc1 Sc 0.333 0.667 0.000 1
Sc2 Sc 0.667 0.333 0.000 1
# Theoretical density: 7.85 Mg/m³
# SG: P6/mmm, No. 191
# Relative energy among the computed polymorphs: 11 meV per atom
# ΔH_f (0 K): 46 meV/atom

Entry 7:
# PBE-GGA DyHoSc2, optimized geometry
data_DyHoSc2
_chemical_formula_sum 'Dy1 Ho1 Sc2'
_cell_length_a 5.396
_cell_length_b 5.396
_cell_length_c 5.396
_cell_angle_alpha 60.00
_cell_angle_beta 60.00
_cell_angle_gamma 60.00
_space_group_name_H-M_alt 'P 1'
_space_group_IT_number 1
loop_
_space_group_symop_operation_xyz
'x,y,z'
loop_
_atom_site_label
_atom_site_type_symbol
_atom_site_fract_x
_atom_site_fract_y
_atom_site_fract_z
_atom_site_occupancy
Dy1 Dy 0.000 0.000 0.000 1
Ho1 Ho 0.500 0.500 0.500 1
Sc1 Sc 0.250 0.250 0.250 1
Sc2 Sc 0.750 0.750 0.750 1
# Theoretical density: 6.24 Mg/m³
# SG: Fm-3m, No. 225
# Relative energy among the computed polymorphs: 48 meV per atom
# ΔH_f (0 K): 91 meV/atom

Entry 8:
# PBE-GGA Dy3Ho2Sc3, optimized geometry
data_Dy3Ho2Sc3
_chemical_formula_sum 'Dy3 Ho2 Sc3'
_cell_length_a 11.603
_cell_length_b 11.603
_cell_length_c 5.942
_cell_angle_alpha 104.48
_cell_angle_beta 104.48
_cell_angle_gamma 17.18
_space_group_name_H-M_alt 'P 1'
_space_group_IT_number 1
loop_
_space_group_symop_operation_xyz
'x,y,z'
loop_
_atom_site_label
_atom_site_type_symbol
_atom_site_fract_x
_atom_site_fract_y
_atom_site_fract_z
_atom_site_occupancy
Dy1 Dy 0.000 0.000 0.000 1
Dy2 Dy 0.123 0.123 0.464 1
Dy3 Dy 0.877 0.877 0.536 1
Ho1 Ho 0.247 0.247 0.244 1
Ho2 Ho 0.753 0.753 0.756 1
Sc1 Sc 0.376 0.376 0.041 1
Sc2 Sc 0.500 0.500 0.500 1
Sc3 Sc 0.624 0.624 0.959 1
# Theoretical density: 6.92 Mg/m³
# SG: C2/m, No. 12
# Relative energy among the computed polymorphs: 0 meV per atom
# ΔH_f (0 K): 27 meV/atom